# 1
Entry from Alexandria via LeMat-Bulk: NiAsPPtC after structural relaxation (PBE-GGA).

Cell lengths 3.4120, 4.6887, 5.3108 Å; angles 114.46, 89.97, 111.58 degrees
Closest atoms and distances in Å follow each position.
Positions (direct):
As  0.2066  0.1390  0.6544  1 C 1.88
C  0.9936  0.7035  0.6462  1 P 1.78, 1 As 1.88
Pt  0.7453  0.2147  0.3308  1 C 2.04
P  0.0383  0.7957  0.0077  1 C 1.78
Ni  0.4079  0.5369  0.1179  2 P 2.26, 1 As 2.30

Summary:
Its polymorph energy (0 for the lowest one) is 105 meV/atom. For the total magnetization, the calculation gives 0.0 μB/f.u. For the calculated formation energy, the calculation gives 0.251 eV per atom. The calculated total energy comes out at -5.97 eV per atom.

# 2
Entry from Alexandria via LeMat-Bulk: NiAsPPtC after structural relaxation (PBE-GGA).

Cell lengths 3.5803, 4.1808, 6.1356 Å; angles 90.07, 73.27, 64.91 degrees
Closest atoms and distances in Å follow each position.
Positions (direct):
C  0.0506  0.8166  0.9118  1 P 1.78, 2 Ni 1.85
P  0.7502  0.2356  0.0919  1 C 1.78
As  0.7798  0.7545  0.5154  1 Ni 2.31, 3 Pt 2.53-2.55
Ni  0.6159  0.6944  0.9017  2 C 1.85
Pt  0.1932  0.1072  0.3364  2 P 2.39, 3 As 2.53-2.55

Summary:
Its polymorph energy (0 for the lowest one) is 73 meV/atom. For the total magnetization, the calculation gives 0.0 μB/f.u. For the calculated formation energy, the calculation gives 0.219 eV per atom. The calculated total energy comes out at -6.00 eV per atom.

# 3
Entry from Alexandria via LeMat-Bulk: Sc2NiAsC after structural relaxation (PBE-GGA).

Cell lengths 4.5596, 4.5596, 3.7079 Å; angles 90.00, 90.00, 90.00 degrees
Closest atoms and distances in Å follow each position.
Positions (direct):
Sc  0.5000  0.0000  0.0000  2 C 2.28
Sc  0.0000  0.5000  0.0000  2 C 2.28
Ni  0.0000  0.0000  0.5000  2 C 1.85
As  0.5000  0.5000  0.5000  8 Sc 2.94, 4 Ni 3.22
C  0.0000  0.0000  0.0000  2 Ni 1.85

Summary:
For the total magnetization, the calculation gives 0.0 μB/f.u. For the calculated formation energy, the calculation gives -0.655 eV per atom. The calculated total energy comes out at -7.12 eV per atom.

# 4
Entry from Alexandria via LeMat-Bulk: NiAs2CSe after structural relaxation (PBE-GGA).

Cell lengths 4.2411, 4.2411, 4.3688 Å; angles 90.00, 90.00, 90.00 degrees
Closest atoms and distances in Å follow each position.
Positions (direct):
C  0.0000  0.0000  0.0000  4 As 2.12, 2 Se 2.18
Se  0.0000  0.0000  0.5000  2 C 2.18
As  0.5000  0.0000  0.0000  2 C 2.12
As  0.0000  0.5000  0.0000  2 C 2.12
Ni  0.5000  0.5000  0.5000  4 Se 3.00, 8 As 3.04

Summary:
Its polymorph energy (0 for the lowest one) is 0 meV/atom. The formation energy (no corrections) comes out at 1169 meV per atom. For the total magnetization, the calculation gives 0.0 μB/f.u. The calculated total energy comes out at -4.39 eV per atom.

# 5
Entry from Alexandria via LeMat-Bulk: NiAs2CSe after structural relaxation (PBE-GGA).

Cell lengths 4.4680, 4.4680, 4.8333 Å; angles 90.00, 90.00, 90.00 degrees
Closest atoms and distances in Å follow each position.
Positions (direct):
Ni  0.0000  0.0000  0.0000  4 As 2.23, 2 Se 2.42
C  0.5000  0.5000  0.5000  4 Se 3.16, 8 As 3.29
As  0.0000  0.5000  0.0000  2 Ni 2.23
As  0.5000  0.0000  0.0000  2 Ni 2.23
Se  0.0000  0.0000  0.5000  2 Ni 2.42

Summary:
Its polymorph energy (0 for the lowest one) is 451 meV/atom. The formation energy (no corrections) comes out at 1620 meV per atom. For the total magnetization, the calculation gives 0.5 μB/f.u. The calculated total energy comes out at -3.94 eV per atom.

# 6
Entry from Alexandria via LeMat-Bulk: Y2NiAsC after structural relaxation (PBE-GGA).

Cell lengths 4.9733, 4.9733, 3.7011 Å; angles 90.00, 90.00, 90.00 degrees
Closest atoms and distances in Å follow each position.
Positions (direct):
C  0.0000  0.0000  0.0000  2 Ni 1.85
Y  0.5000  0.0000  0.0000  2 C 2.49
Y  0.0000  0.5000  0.0000  2 C 2.49
As  0.5000  0.5000  0.5000  8 Y 3.10
Ni  0.0000  0.0000  0.5000  2 C 1.85

Summary:
For the total magnetization, the calculation gives 0.0 μB/f.u. For the calculated formation energy, the calculation gives -0.683 eV per atom. The calculated total energy comes out at -7.20 eV per atom.

# 7
Entry from Alexandria via LeMat-Bulk: Np2AsC after structural relaxation (PBE-GGA).

Cell lengths 3.7728, 3.7728, 6.6945 Å; angles 73.63, 73.63, 60.00 degrees
Closest atoms and distances in Å follow each position.
Positions (direct):
Np  0.7662  0.7662  0.7014  3 C 2.52
Np  0.2338  0.2338  0.2986  3 C 2.52
C  0.5000  0.5000  0.5000  6 Np 2.52
As  0.0000  0.0000  0.0000  6 Np 2.88

Summary:
For the total magnetization, the calculation gives 6.8 μB/f.u. For the calculated formation energy, the calculation gives -0.195 eV per atom. The calculated total energy comes out at -10.13 eV per atom.

# 8
Entry from Alexandria via LeMat-Bulk: Sc3AsCO after structural relaxation (PBE-GGA).

Cell lengths 3.4983, 7.5738, 7.9118 Å; angles 105.45, 90.00, 90.00 degrees
Closest atoms and distances in Å follow each position.
Positions (direct):
Sc  0.2500  0.8100  0.4671  3 O 2.02-2.12
Sc  0.7500  0.1900  0.5329  3 O 2.02-2.12
Sc  0.7500  0.8646  0.1386  1 O 2.01
Sc  0.2500  0.5479  0.8561  3 C 2.23-2.36
Sc  0.7500  0.4521  0.1439  3 C 2.23-2.36
Sc  0.2500  0.1354  0.8614  1 O 2.01
As  0.2500  0.1977  0.2316  7 Sc 2.82-3.00
As  0.7500  0.8023  0.7684  7 Sc 2.82-3.00
O  0.7500  0.9073  0.4002  4 Sc 2.01-2.12
O  0.2500  0.0927  0.5998  4 Sc 2.01-2.12
C  0.7500  0.3388  0.8529  6 Sc 2.23-2.48
C  0.2500  0.6612  0.1471  6 Sc 2.23-2.48

Summary:
The formation energy (no corrections) comes out at -1542 meV per atom. For the total magnetization, the calculation gives 0.0 μB/f.u. The calculated total energy comes out at -7.85 eV per atom.

# 9
Entry from Alexandria via LeMat-Bulk: Sn2AsCO after structural relaxation (PBE-GGA).

Cell lengths 5.0905, 3.8202, 5.0905 Å; angles 90.00, 90.00, 90.00 degrees
Closest atoms and distances in Å follow each position.
Positions (direct):
C  0.0000  0.0000  0.0000  2 As 1.91
Sn  0.0000  0.0000  0.5000  2 C 2.55
Sn  0.5000  0.0000  0.0000  2 C 2.55
As  0.0000  0.5000  0.0000  2 C 1.91
O  0.5000  0.5000  0.5000  8 Sn 3.18

Summary:
The formation energy (no corrections) comes out at 939 meV per atom. For the total magnetization, the calculation gives 0.0 μB/f.u. The calculated total energy comes out at -4.43 eV per atom.

# 10
Entry from Alexandria via LeMat-Bulk: Tb4AsC2O after structural relaxation (PBE-GGA).

Cell lengths 3.7664, 6.5857, 12.9031 Å; angles 90.00, 90.00, 106.62 degrees
Closest atoms and distances in Å follow each position.
Positions (direct):
C  0.6326  0.2653  0.0538  6 Tb 2.51-2.65
C  0.3674  0.7347  0.5538  6 Tb 2.51-2.65
C  0.6326  0.2653  0.4462  6 Tb 2.51-2.65
C  0.3674  0.7347  0.9462  6 Tb 2.51-2.65
O  0.8410  0.6821  0.7500  4 Tb 2.19-2.21
O  0.1590  0.3179  0.2500  4 Tb 2.19-2.21
Tb  0.7395  0.4791  0.8897  1 O 2.21
Tb  0.5700  0.1400  0.2500  2 O 2.19
Tb  0.2605  0.5209  0.1103  1 O 2.21
Tb  0.0000  0.0000  0.5000  4 C 2.61
Tb  0.2605  0.5209  0.3897  1 O 2.21
Tb  0.0000  0.0000  0.0000  4 C 2.61
Tb  0.4300  0.8600  0.7500  2 O 2.19
Tb  0.7395  0.4791  0.6103  1 O 2.21
As  0.1110  0.2219  0.7500  6 Tb 2.96-3.07
As  0.8890  0.7781  0.2500  6 Tb 2.96-3.07

Summary:
The formation energy (no corrections) comes out at -1146 meV per atom. For the total magnetization, the calculation gives 0.0 μB/f.u. The calculated total energy comes out at -6.97 eV per atom.

# 11
Entry from Alexandria via LeMat-Bulk: TlAsC2O6 after structural relaxation (PBE-GGA).

Cell lengths 6.8197, 6.8197, 8.7446 Å; angles 112.59, 112.59, 80.32 degrees
Closest atoms and distances in Å follow each position.
Positions (direct):
O  0.3160  0.5298  0.3470  1 C 1.37
O  0.9957  0.6519  0.8031  1 C 1.23
O  0.2528  0.3162  0.0717  1 C 1.32
O  0.6840  0.4702  0.6530  1 C 1.37
O  0.7472  0.6838  0.9283  1 C 1.32
O  0.0043  0.3481  0.1969  1 C 1.23
O  0.6519  0.9957  0.3031  1 C 1.23
O  0.5298  0.3160  0.8470  1 C 1.37
O  0.3481  0.0043  0.6969  1 C 1.23
O  0.3162  0.2528  0.5717  1 C 1.32
O  0.6838  0.7472  0.4283  1 C 1.32
O  0.4702  0.6840  0.1530  1 C 1.37
Tl  0.9724  0.0276  0.7500  4 O 2.74-2.88
Tl  0.0276  0.9724  0.2500  4 O 2.74-2.88
C  0.3923  0.1746  0.7007  3 O 1.23-1.37
C  0.6077  0.8254  0.2993  3 O 1.23-1.37
C  0.1746  0.3923  0.2007  3 O 1.23-1.37
C  0.8254  0.6077  0.7993  3 O 1.23-1.37
As  0.4652  0.5348  0.7500  4 O 1.90-2.07
As  0.5348  0.4652  0.2500  4 O 1.90-2.07

Summary:
The formation energy (no corrections) comes out at -1179 meV per atom. For the total magnetization, the calculation gives 0.0 μB/f.u. The calculated total energy comes out at -6.70 eV per atom.

# 12
Entry from Alexandria via LeMat-Bulk: ZrAsCO2 after structural relaxation (PBE-GGA).

Cell lengths 3.8560, 4.0017, 3.8560 Å; angles 90.00, 90.00, 90.00 degrees
Closest atoms and distances in Å follow each position.
Positions (direct):
O  0.5000  0.0000  0.0000  2 C 1.93
O  0.0000  0.0000  0.5000  2 C 1.93
As  0.0000  0.5000  0.0000  2 C 2.00
Zr  0.5000  0.5000  0.5000  4 As 2.73, 8 O 2.78
C  0.0000  0.0000  0.0000  4 O 1.93, 2 As 2.00

Summary:
The formation energy (no corrections) comes out at 213 meV per atom. For the total magnetization, the calculation gives 0.0 μB/f.u. The calculated total energy comes out at -6.25 eV per atom.